[1]
{"formula": "LiBeSbPd", "functional": "PBE", "state": "optimized geometry", "sg": "F-43m (216)", "total_energy_ev_per_atom": -3.95, "cell": [[0.0000, 3.1210, 3.1210], [3.1210, 0.0000, 3.1210], [3.1210, 3.1210, 0.0000]], "species": ["Li", "Be", "Sb", "Pd"], "fractional_positions": [[0.0000, 0.0000, 0.0000], [0.2500, 0.2500, 0.2500], [0.7500, 0.7500, 0.7500], [0.5000, 0.5000, 0.5000]]}

[2]
{"formula": "PrGaCu", "functional": "PBE", "state": "optimized geometry", "sg": "F-43m (216)", "total_energy_ev_per_atom": -3.92, "cell": [[0.0000, 3.2844, 3.2844], [3.2844, 0.0000, 3.2844], [3.2844, 3.2844, 0.0000]], "species": ["Pr", "Ga", "Cu"], "fractional_positions": [[0.0000, 0.0000, 0.0000], [0.7500, 0.7500, 0.7500], [0.5000, 0.5000, 0.5000]]}

[3]
{"formula": "NbCoBOs", "functional": "PBE", "state": "optimized geometry", "sg": "F-43m (216)", "total_energy_ev_per_atom": -8.46, "cell": [[0.0000, 2.9445, 2.9445], [2.9445, 0.0000, 2.9445], [2.9445, 2.9445, 0.0000]], "species": ["Nb", "Co", "B", "Os"], "fractional_positions": [[0.0000, 0.0000, 0.0000], [0.7500, 0.7500, 0.7500], [0.5000, 0.5000, 0.5000], [0.2500, 0.2500, 0.2500]]}

[4]
{"formula": "NdDy2NiSn3Ir2", "functional": "PBE", "state": "optimized geometry", "sg": "Amm2 (38)", "total_energy_ev_per_atom": -6.24, "cell": [[3.9320, 0.0000, 0.0000], [0.0000, 6.5245, 3.7399], [0.0000, -6.5245, 3.7399]], "species": ["Nd", "Dy", "Dy", "Ni", "Sn", "Sn", "Sn", "Ir", "Ir"], "fractional_positions": [[0.0000, 0.0000, 0.0000], [0.0000, 0.4095, 0.8181], [0.0000, 0.8181, 0.4095], [0.0000, 0.4135, 0.4135], [0.5000, 0.1588, 0.4124], [0.5000, 0.4124, 0.1588], [0.5000, 0.6592, 0.6592], [0.5000, 0.0791, 0.7381], [0.5000, 0.7381, 0.0791]]}

[5]
{"formula": "Pm2Ga2O5", "functional": "PBE", "state": "optimized geometry", "sg": "P4/mmm (123)", "total_energy_ev_per_atom": -6.78, "cell": [[3.9214, 0.0000, 0.0000], [0.0000, 3.9214, 0.0000], [0.0000, 0.0000, 6.9690]], "species": ["Pm", "Pm", "Ga", "Ga", "O", "O", "O", "O", "O"], "fractional_positions": [[0.0000, 0.0000, 0.0000], [0.0000, 0.0000, 0.5000], [0.5000, 0.5000, 0.2117], [0.5000, 0.5000, 0.7883], [0.0000, 0.5000, 0.2386], [0.0000, 0.5000, 0.7614], [0.5000, 0.0000, 0.2386], [0.5000, 0.0000, 0.7614], [0.5000, 0.5000, 0.5000]]}

[6]
{"formula": "MgSiIr2", "functional": "PBE", "state": "optimized geometry", "sg": "P6_3/mmc (194)", "total_energy_ev_per_atom": -6.15, "cell": [[4.5067, 0.0000, 0.0000], [-2.2534, 3.9029, 0.0000], [0.0000, 0.0000, 7.2436]], "species": ["Mg", "Mg", "Si", "Si", "Ir", "Ir", "Ir", "Ir"], "fractional_positions": [[0.0000, 0.0000, 0.2500], [0.0000, 0.0000, 0.7500], [0.3333, 0.6667, 0.2500], [0.6667, 0.3333, 0.7500], [0.3333, 0.6667, 0.5673], [0.3333, 0.6667, 0.9327], [0.6667, 0.3333, 0.0673], [0.6667, 0.3333, 0.4327]]}

[7]
{"formula": "Hg2Au3", "functional": "PBE", "state": "optimized geometry", "sg": "P4/mbm (127)", "total_energy_ev_per_atom": -1.98, "delta_e_f_ev_per_atom": 0.09, "cell": [[7.2730, 0.0000, 0.0000], [0.0000, 7.2730, 0.0000], [0.0000, 0.0000, 3.9421]], "species": ["Hg", "Hg", "Hg", "Hg", "Au", "Au", "Au", "Au", "Au", "Au"], "fractional_positions": [[0.1630, 0.3370, 0.0000], [0.3370, 0.8370, 0.0000], [0.6630, 0.1630, 0.0000], [0.8370, 0.6630, 0.0000], [0.0000, 0.0000, 0.5000], [0.1406, 0.6406, 0.5000], [0.3594, 0.1406, 0.5000], [0.5000, 0.5000, 0.5000], [0.6406, 0.8594, 0.5000], [0.8594, 0.3594, 0.5000]]}

[8]
{"formula": "GdZnPbSe3", "functional": "PBE", "state": "optimized geometry", "sg": "Cmcm (63)", "total_energy_ev_per_atom": -4.29, "cell": [[2.0742, -6.9466, 0.0000], [2.0742, 6.9466, 0.0000], [0.0000, 0.0000, 10.7224]], "species": ["Gd", "Gd", "Zn", "Zn", "Pb", "Pb", "Se", "Se", "Se", "Se", "Se", "Se"], "fractional_positions": [[0.0000, 0.0000, 0.0000], [0.0000, 0.0000, 0.5000], [0.4695, 0.5305, 0.7500], [0.5305, 0.4695, 0.2500], [0.2232, 0.7768, 0.2500], [0.7768, 0.2232, 0.7500], [0.0833, 0.9167, 0.7500], [0.3604, 0.6396, 0.5571], [0.3604, 0.6396, 0.9429], [0.6396, 0.3604, 0.0571], [0.6396, 0.3604, 0.4429], [0.9167, 0.0833, 0.2500]]}

[9]
{"formula": "ErZnInSe3", "functional": "PBE", "state": "optimized geometry", "sg": "Cmcm (63)", "total_energy_ev_per_atom": -4.24, "cell": [[2.0360, -7.2994, 0.0000], [2.0360, 7.2994, 0.0000], [0.0000, 0.0000, 10.8165]], "species": ["Er", "Er", "Zn", "Zn", "In", "In", "Se", "Se", "Se", "Se", "Se", "Se"], "fractional_positions": [[0.0000, 0.0000, 0.0000], [0.0000, 0.0000, 0.5000], [0.4618, 0.5382, 0.7500], [0.5382, 0.4618, 0.2500], [0.2488, 0.7512, 0.2500], [0.7512, 0.2488, 0.7500], [0.0674, 0.9326, 0.7500], [0.3698, 0.6302, 0.5600], [0.3698, 0.6302, 0.9400], [0.6302, 0.3698, 0.0600], [0.6302, 0.3698, 0.4400], [0.9326, 0.0674, 0.2500]]}

[10]
{"formula": "Y2LuBi", "functional": "PBE", "state": "optimized geometry", "sg": "F-43m (216)", "total_energy_ev_per_atom": -5.48, "cell": [[0.0000, 3.8579, 3.8579], [3.8579, 0.0000, 3.8579], [3.8579, 3.8579, 0.0000]], "species": ["Y", "Y", "Lu", "Bi"], "fractional_positions": [[0.0000, 0.0000, 0.0000], [0.2500, 0.2500, 0.2500], [0.7500, 0.7500, 0.7500], [0.5000, 0.5000, 0.5000]]}

[11]
{"formula": "K3TaO4", "functional": "PBE", "state": "optimized geometry", "sg": "P2/c (13)", "total_energy_ev_per_atom": -6.55, "cell": [[6.4528, 0.0000, 0.0000], [0.0000, 7.2440, 0.0000], [-1.8286, 0.0000, 5.4133]], "species": ["K", "K", "K", "K", "K", "K", "Ta", "Ta", "O", "O", "O", "O", "O", "O", "O", "O"], "fractional_positions": [[0.0000, 0.1066, 0.2500], [0.0000, 0.3850, 0.7500], [0.0000, 0.6150, 0.2500], [0.0000, 0.8934, 0.7500], [0.5000, 0.3865, 0.2500], [0.5000, 0.6135, 0.7500], [0.5000, 0.1216, 0.7500], [0.5000, 0.8784, 0.2500], [0.2923, 0.3010, 0.5685], [0.2923, 0.6990, 0.0685], [0.3293, 0.0917, 0.9964], [0.3293, 0.9083, 0.4964], [0.6707, 0.0917, 0.5036], [0.6707, 0.9083, 0.0036], [0.7077, 0.3010, 0.9315], [0.7077, 0.6990, 0.4315]]}

[12]
{"formula": "NbTe2Ir", "functional": "PBE", "state": "optimized geometry", "sg": "F-43m (216)", "total_energy_ev_per_atom": -5.75, "cell": [[0.0000, 3.4527, 3.4527], [3.4527, 0.0000, 3.4527], [3.4527, 3.4527, 0.0000]], "species": ["Nb", "Te", "Te", "Ir"], "fractional_positions": [[0.0000, 0.0000, 0.0000], [0.5000, 0.5000, 0.5000], [0.7500, 0.7500, 0.7500], [0.2500, 0.2500, 0.2500]]}